No. 1
A plane-wave DFT calculation with PBE was carried out for a relaxed structure of NdHo2Pt.

It has space group P2_1/m (No. 11), with a = 3.817 Å, b = 9.200 Å, c = 6.551 Å, α = 90.00°, β = 106.85° and γ = 90.00°. The distinct sites, in fractional coordinates, are Nd at (0.061, 0.250, 0.123), Ho at (0.361, 0.062, 0.721) and Pt at (0.238, 0.750, 0.476).

Its distance to the lowest polymorph of the same formula is 2.52 kJ/mol of atoms. As for the theoretical density: 10.1 g/cm3. Its calculated formation energy is -0.667 eV/atom.

No. 2
A plane-wave DFT calculation with PBE was carried out for a relaxed structure of Li2TcCl.

It has space group Cmm2 (No. 35), with a = 2.973 Å, b = 5.123 Å, c = 8.785 Å, α = 90.00°, β = 90.00° and γ = 90.00°. The distinct sites, in fractional coordinates, are Li at (0.000, 0.000, 0.000), Li at (0.000, 0.500, 0.304), Tc at (0.000, 0.500, 0.740) and Cl at (0.000, 0.000, 0.507).

Its energy relative to the elements, uncorrected is 0.155 eV/atom. Its distance to the lowest polymorph of the same formula is 39.75 kJ/mol of atoms. As for the theoretical density: 3.7 g/cm3.

No. 3
A plane-wave DFT calculation with PBE was carried out for a relaxed structure of Na3Zn8Ga.

It has space group R3m (No. 160, hexagonal axes), with a = 5.3963 Å, b = 5.3963 Å, c = 26.0908 Å, α = 90.00°, β = 90.00° and γ = 120.00°. The distinct sites, in fractional coordinates, are Na at (0.0000, 0.0000, 0.0000), Na at (0.0000, 0.0000, 0.1262), Na at (0.0000, 0.0000, 0.5023), Zn at (0.0000, 0.0000, 0.3138), Zn at (0.0000, 0.0000, 0.8131), Zn at (0.0019, 0.5009, 0.5649), Zn at (0.1674, 0.3347, 0.3954) and Ga at (0.0000, 0.0000, 0.6255).

As for the theoretical density: 5.0 g/cm3. Its calculated formation energy is -0.009 eV/atom.

No. 4
A plane-wave DFT calculation with PBE was carried out for a relaxed structure of NdNbZn4.

It has space group F-43m (No. 216), with a = 7.554 Å, b = 7.554 Å, c = 7.554 Å, α = 90.00°, β = 90.00° and γ = 90.00°. The distinct sites, in fractional coordinates, are Nd at (0.000, 0.000, 0.000), Nb at (0.250, 0.250, 0.750) and Zn at (0.123, 0.123, 0.377).

As for the theoretical density: 7.7 g/cm3. Its calculated formation energy is -0.113 eV/atom.

No. 5
A plane-wave DFT calculation with PBE was carried out for a relaxed structure of Ce2GeOs.

It has space group P4/mmm (No. 123), with a = 4.496 Å, b = 4.496 Å, c = 4.117 Å, α = 90.00°, β = 90.00° and γ = 90.00°. The distinct sites, in fractional coordinates, are Ce at (0.000, 0.500, 0.000), Ge at (0.000, 0.000, 0.500) and Os at (0.500, 0.500, 0.500).

Its distance to the lowest polymorph of the same formula is 11.49 kJ/mol of atoms. As for the theoretical density: 10.8 g/cm3. Its calculated formation energy is -0.370 eV/atom.

No. 6
A plane-wave DFT calculation with PBE was carried out for a relaxed structure of Pr2CrP2N6.

It has space group R-3m (No. 166, hexagonal axes), with a = 5.4656 Å, b = 5.4656 Å, c = 15.6597 Å, α = 90.00°, β = 90.00° and γ = 120.00°. The distinct sites, in fractional coordinates, are Pr at (0.0000, 0.0000, 0.2224), Cr at (0.0000, 0.0000, 0.0000), P at (0.0000, 0.0000, 0.4327) and N at (0.0030, 0.5015, 0.7463).

Its energy relative to the elements, uncorrected is -0.768 eV/atom. As for the theoretical density: 5.9 g/cm3.

What is the theoretical density in the third record? 5.0 g/cm3